[1]
Material: Ca5Ag3
Method: DFT, meta-GGA SCAN
State: PBEsol geometry

a b c (Å): 11.8908 11.8908 6.2790
angles (deg): 90.00 90.00 90.00
With the nearest neighbours (Å) after each atom.
Space group I4/mcm (No. 140)
Inequivalent atoms, fractional coordinates:
Ca (0.0000, 0.5000, 0.2500)  4 Ag 3.10, 2 Ca 3.14
Ca (0.0816, 0.2125, 0.0000)  4 Ag 3.13-3.24, 1 Ca 3.46
Ag (0.0000, 0.0000, 0.2500)  8 Ca 3.13, 2 Ag 3.14
Ag (0.1589, 0.3411, 0.5000)  6 Ca 3.10-3.24

***

[2]
Material: Ca2Ag
Method: DFT, meta-GGA SCAN
State: PBEsol geometry

a b c (Å): 3.6797 3.6797 12.9747
angles (deg): 90.00 90.00 90.00
With the nearest neighbours (Å) after each atom.
Space group I4/mmm (No. 139)
Inequivalent atoms, fractional coordinates:
Ca (0.0000, 0.0000, 0.1361)  4 Ag 3.14
Ag (0.0000, 0.0000, 0.5000)  8 Ca 3.14

***

Asked for ΔH_f (0 K) across the records above, the calculation gives -2.08, -0.68 eV per formula unit in order.